## Fe3O5F (PBE+U)

Data for a relaxed structure of Fe3O5F. Values from VASP.

Computed properties:
crystal system: monoclinic
space-group type: P2/m
DOS(E_F): 5.360 states/eV/f.u.
relative energy among the computed polymorphs: 0.29 eV/f.u.
M_tot: 1.2 Bohr magnetons per cell
VASP energy: -6.092 eV/atom

Structure (Quantum ESPRESSO input):
```
&SYSTEM
  ibrav = 0, nat = 18, ntyp = 3
/
ATOMIC_SPECIES
Fe 55.84 Fe.upf
O 16.00 O.upf
F 19.00 F.upf
CELL_PARAMETERS angstrom
-1.200 -2.254 1.534
-1.949 -1.613 -3.896
11.055 -7.986 -3.085
ATOMIC_POSITIONS crystal
Fe 0.000 0.978 0.663
Fe 0.500 0.500 0.500
O 0.000 0.313 0.226
Fe 0.500 0.516 0.844
O 0.000 0.298 0.565
O 0.000 0.299 0.905
O 0.000 0.702 0.435
F 0.500 0.190 0.736
O 0.500 0.208 0.396
O 0.000 0.701 0.095
Fe 0.500 0.484 0.156
Fe 0.000 0.022 0.337
O 0.500 0.176 0.060
F 0.500 0.810 0.264
O 0.500 0.824 0.940
O 0.500 0.792 0.604
Fe 0.000 0.000 0.000
O 0.000 0.687 0.774
```

---

## Fe4O5F3 (PBE+U)

Data for a relaxed structure of Fe4O5F3. Values from VASP.

Computed properties:
crystal system: triclinic
space-group type: P-1
DOS(E_F): 3.980 states/eV/f.u.
relative energy among the computed polymorphs: 2.55 eV/f.u.
M_tot: 6.1 Bohr magnetons per cell
VASP energy: -5.837 eV/atom

Structure (Quantum ESPRESSO input):
```
&SYSTEM
  ibrav = 0, nat = 24, ntyp = 3
/
ATOMIC_SPECIES
O 16.00 O.upf
F 19.00 F.upf
Fe 55.84 Fe.upf
CELL_PARAMETERS angstrom
-0.606 4.108 -2.014
3.161 -2.725 -6.296
-7.422 -1.626 -0.862
ATOMIC_POSITIONS crystal
O 0.709 0.714 0.475
O 0.314 0.539 0.290
O 0.789 0.838 0.857
O 0.703 0.964 0.225
F 0.707 0.223 0.956
Fe 0.975 0.883 0.647
O 0.686 0.461 0.710
Fe 0.500 0.000 0.000
O 0.297 0.036 0.775
F 0.790 0.101 0.591
F 0.293 0.777 0.044
F 0.802 0.341 0.331
Fe 0.545 0.740 0.252
F 0.198 0.659 0.669
Fe 0.962 0.613 0.876
Fe 0.500 0.500 0.500
Fe 0.455 0.260 0.748
O 0.211 0.162 0.143
O 0.796 0.582 0.092
O 0.204 0.418 0.908
F 0.210 0.899 0.409
Fe 0.038 0.387 0.124
Fe 0.025 0.117 0.353
O 0.291 0.286 0.525
```